A plane-wave DFT calculation with PBE was carried out for a geometry-optimized LaAsS4 structure.

Output
Uncorrected formation energy in eV/atom: -0.89
Space-group type: No. 11

Lattice parameters (Å, degrees): 5.9207 9.1848 6.0518 90.00 100.92 90.00
Sites, in units of the cell vectors:
La1 0.1363 0.2500 0.1805
La2 0.8637 0.7500 0.8195
As1 0.3808 0.7500 0.3237
As2 0.6192 0.2500 0.6763
S1 0.1998 0.5695 0.1190
S2 0.1998 0.9305 0.1190
S3 0.2511 0.2500 0.6789
S4 0.3479 0.7500 0.6753
S5 0.6521 0.2500 0.3247
S6 0.7489 0.7500 0.3211
S7 0.8002 0.0695 0.8810
S8 0.8002 0.4305 0.8810

***

A plane-wave DFT calculation with PBE was carried out for a geometry-optimized SrYOs2 structure.

Output
Polymorph energy (0 for the lowest one) in kJ per mole of atoms: 43.0
Space-group type: No. 10
DFT formation energy in eV/atom: 0.585

Lattice parameters (Å, degrees): 3.0560 4.6099 6.5815 90.00 99.91 90.00
Sites, in units of the cell vectors:
Sr1 0.0000 0.0000 0.0000
Y1 0.5000 0.0000 0.5000
Os1 0.2669 0.5000 0.6734
Os2 0.7331 0.5000 0.3266